[1]
Density functional theory data (PBE) for a relaxed BaRe2Ru crystal.

Crystal system   orthorhombic
ΔE_f   4.46 eV per formula unit
N(E_F)   8.79 states/eV/cell
Energy relative to the lowest polymorph listed for this composition   536.1 meV per atom
Raw total energy   -7.909 eV/atom

a = 2.8527 Å, b = 5.0714 Å, c = 10.7141 Å
α = 90.00°, β = 90.00°, γ = 90.00°
Space group Immm (No. 71)
Inequivalent atoms, fractional coordinates:
Ba 0.0000 0.0000 0.0000 (multiplicity 2)
Re 0.0000 0.5000 0.2126 (multiplicity 4)
Ru 0.0000 0.0000 0.5000 (multiplicity 2)


[2]
Density functional theory data (PBE) for a relaxed Th2PdN crystal.

Crystal system   trigonal
N(E_F)   13.38 states/eV/cell
Uncorrected formation energy   -3.70 eV per formula unit
Raw total energy   -8.015 eV/atom

a = 3.7735 Å, b = 3.7735 Å, c = 20.9793 Å
α = 90.00°, β = 90.00°, γ = 120.00°
Space group R-3m (No. 166, hexagonal axes)
Inequivalent atoms, fractional coordinates:
Th 0.0000 0.0000 0.2342 (multiplicity 6)
Pd 0.0000 0.0000 0.0000 (multiplicity 3)
N 0.0000 0.0000 0.5000 (multiplicity 3)


[3]
Density functional theory data (PBE) for a relaxed Er2PuSc4 crystal.

Crystal system   orthorhombic
ΔE_f   4.09 eV per formula unit
N(E_F)   29.75 states/eV/cell
Raw total energy   -6.384 eV/atom

a = 5.8753 Å, b = 12.7406 Å, c = 5.4060 Å
α = 90.00°, β = 90.00°, γ = 90.00°
Space group Cmmm (No. 65)
Inequivalent atoms, fractional coordinates:
Er 0.0000 0.1203 0.0000 (multiplicity 4)
Pu 0.0000 0.5000 0.5000 (multiplicity 2)
Sc 0.0000 0.2534 0.5000 (multiplicity 4)
Sc 0.0000 0.3739 0.0000 (multiplicity 4)


[4]
Density functional theory data (PBE) for a relaxed Ac2ZnCoAg crystal.

Crystal system   monoclinic
ΔE_f   -0.88 eV per formula unit
N(E_F)   8.09 states/eV/cell
Raw total energy   -4.065 eV/atom

a = 7.8298 Å, b = 4.3835 Å, c = 8.1651 Å
α = 90.00°, β = 111.74°, γ = 90.00°
Space group P2_1/m (No. 11)
Inequivalent atoms, fractional coordinates:
Ac 0.1375 0.2500 0.3521 (multiplicity 2)
Ac 0.2765 0.2500 0.9535 (multiplicity 2)
Zn 0.4260 0.7500 0.3010 (multiplicity 2)
Co 0.0984 0.7500 0.0801 (multiplicity 2)
Ag 0.3501 0.7500 0.6612 (multiplicity 2)


[5]
Density functional theory data (PBE) for a relaxed La2NdMgO crystal.

Crystal system   tetragonal
N(E_F)   6.20 states/eV/cell
Uncorrected formation energy   -5.95 eV per formula unit
Raw total energy   -5.426 eV/atom

a = 5.1195 Å, b = 5.1195 Å, c = 5.0329 Å
α = 90.00°, β = 90.00°, γ = 90.00°
Space group P4/mmm (No. 123)
Inequivalent atoms, fractional coordinates:
La 0.0000 0.5000 0.0000 (multiplicity 2)
Nd 0.0000 0.0000 0.5000 (multiplicity 1)
Mg 0.5000 0.5000 0.5000 (multiplicity 1)
O 0.0000 0.0000 0.0000 (multiplicity 1)


[6]
Density functional theory data (PBE) for a relaxed Ta3TiV crystal.

Crystal system   cubic
ΔE_f   5.32 eV per formula unit
N(E_F)   6.26 states/eV/cell
Energy relative to the lowest polymorph listed for this composition   0.0 meV per atom
Raw total energy   -9.450 eV/atom

a = 4.6440 Å, b = 4.6440 Å, c = 4.6440 Å
α = 90.00°, β = 90.00°, γ = 90.00°
Space group Pm-3m (No. 221)
Inequivalent atoms, fractional coordinates:
Ta 0.0000 0.0000 0.5000 (multiplicity 3)
Ti 0.5000 0.5000 0.5000 (multiplicity 1)
V 0.0000 0.0000 0.0000 (multiplicity 1)


[7]
Density functional theory data (PBE) for a relaxed CaEr4Tl7 crystal.

Crystal system   monoclinic
ΔE_f   -1.39 eV per formula unit
N(E_F)   14.14 states/eV/cell
Raw total energy   -3.184 eV/atom

a = 13.7257 Å, b = 5.6187 Å, c = 11.3648 Å
α = 90.00°, β = 124.65°, γ = 90.00°
Space group C2/m (No. 12)
Inequivalent atoms, fractional coordinates:
Ca 0.0000 0.0000 0.0000 (multiplicity 2)
Er 0.0842 0.5000 0.7874 (multiplicity 4)
Er 0.2129 0.5000 0.3308 (multiplicity 4)
Tl 0.0000 0.5000 0.0000 (multiplicity 2)
Tl 0.0765 0.0000 0.3306 (multiplicity 4)
Tl 0.1353 0.5000 0.5523 (multiplicity 4)
Tl 0.2175 0.0000 0.8869 (multiplicity 4)


[8]
Density functional theory data (PBE) for a relaxed Tm2Pd3Au3 crystal.

Crystal system   trigonal
ΔE_f   -6.02 eV per formula unit
N(E_F)   9.26 states/eV/cell
Energy relative to the lowest polymorph listed for this composition   0.0 meV per atom
Raw total energy   -5.046 eV/atom

a = 7.4416 Å, b = 7.4416 Å, c = 9.4996 Å
α = 90.00°, β = 90.00°, γ = 120.00°
Space group R32 (No. 155, hexagonal axes)
Inequivalent atoms, fractional coordinates:
Tm 0.0000 0.0000 0.2443 (multiplicity 6)
Pd 0.0000 0.2429 0.0000 (multiplicity 9)
Au 0.0000 0.7564 0.5000 (multiplicity 9)